No. 1
La2Tb2DyHo: relaxed, GGA-PBE.

Output
**Space-group type**: No. 26
**Density of states at the Fermi level**: 20.0 states/eV/cell
**Final energy**: -4.61 eV/atom

Lattice parameters (Å, degrees): 5.8094 6.0275 11.5806 90.00 90.00 90.00
Atoms (fractional coordinates):
La1 0.0000 0.1851 0.0000
La2 0.0000 0.8149 0.5000
La3 0.5000 0.2433 0.1920
La4 0.5000 0.7567 0.6920
Tb1 0.0000 0.3129 0.3656
Tb2 0.0000 0.6871 0.8656
Tb3 0.5000 0.2895 0.8586
Tb4 0.5000 0.7105 0.3586
Dy1 0.0000 0.2354 0.6901
Dy2 0.0000 0.7646 0.1901
Ho1 0.5000 0.2152 0.5164
Ho2 0.5000 0.7848 0.0164

---

No. 2
LaTh2Si: relaxed, GGA-PBE.

Output
**Space-group type**: No. 166
**Density of states at the Fermi level**: 4.9 states/eV/cell
**Formation energy without anion corrections**: 3.04 kJ per mole of atoms

Lattice parameters (Å, degrees): 10.7101 10.7101 10.7101 20.65 20.65 20.65
Atoms (fractional coordinates):
La1 0.0000 0.0000 0.0000
Th1 0.1093 0.1093 0.1093
Th2 0.8907 0.8907 0.8907
Si1 0.5000 0.5000 0.5000

---

No. 3
Ba2IrO4F: relaxed, GGA-PBE.

Output
**Space-group type**: No. 12
**Density of states at the Fermi level**: 0.4 states/eV/cell
**Formation energy without anion corrections**: -194.92 kJ per mole of atoms

Lattice parameters (Å, degrees): 5.1911 5.1911 9.3341 113.95 113.95 38.60
Atoms (fractional coordinates):
Ba1 0.1464 0.1464 0.2420
Ba2 0.8536 0.8536 0.7580
Ir1 0.0000 0.0000 0.5000
O1 0.1349 0.1349 0.7212
O2 0.3932 0.3932 0.5368
O3 0.6068 0.6068 0.4632
O4 0.8651 0.8651 0.2788
F1 0.5000 0.5000 0.0000

---

No. 4
Zr2IrAu: relaxed, GGA-PBE.

Output
**Space-group type**: No. 119
**Density of states at the Fermi level**: 3.4 states/eV/cell
**Final energy**: -7.82 eV/atom

Lattice parameters (Å, degrees): 5.3085 5.3085 5.3085 134.57 134.57 66.21
Atoms (fractional coordinates):
Zr1 0.0000 0.0000 0.0000
Zr2 0.7500 0.2500 0.5000
Ir1 0.5000 0.5000 0.0000
Au1 0.2500 0.7500 0.5000

---

No. 5
KNb3O7: relaxed, GGA-PBE.

Output
**Space-group type**: No. 65
**Density of states at the Fermi level**: 1.0 states/eV/cell
**Formation energy without anion corrections**: -219.09 kJ per mole of atoms

Lattice parameters (Å, degrees): 6.9691 6.9691 3.8252 90.00 90.00 121.09
Atoms (fractional coordinates):
K1 0.0000 0.0000 0.0000
Nb1 0.2653 0.7347 0.0000
Nb2 0.5000 0.5000 0.0000
Nb3 0.7347 0.2653 0.0000
O1 0.1476 0.4165 0.0000
O2 0.2204 0.7796 0.5000
O3 0.4165 0.1476 0.0000
O4 0.5000 0.5000 0.5000
O5 0.5835 0.8524 0.0000
O6 0.7796 0.2204 0.5000
O7 0.8524 0.5835 0.0000

---

No. 6
Cd6AgAu10: relaxed, GGA-PBE.

Output
**Space-group type**: No. 162
**Density of states at the Fermi level**: 5.1 states/eV/cell
**Final energy**: -2.51 eV/atom

Lattice parameters (Å, degrees): 8.2272 8.2272 5.6718 90.00 90.00 120.00
Atoms (fractional coordinates):
Cd1 0.0000 0.3518 0.3256
Cd2 0.0000 0.6482 0.6744
Cd3 0.3518 0.0000 0.3256
Cd4 0.3518 0.3518 0.6744
Cd5 0.6482 0.0000 0.6744
Cd6 0.6482 0.6482 0.3256
Ag1 0.0000 0.0000 0.5000
Au1 0.0000 0.2921 0.8355
Au2 0.0000 0.7079 0.1645
Au3 0.2921 0.0000 0.8355
Au4 0.2921 0.2921 0.1645
Au5 0.3333 0.6667 0.0000
Au6 0.3333 0.6667 0.5000
Au7 0.6667 0.3333 0.0000
Au8 0.6667 0.3333 0.5000
Au9 0.7079 0.0000 0.1645
Au10 0.7079 0.7079 0.8355